[1]
VASP calculation (PBE) on a relaxed structure of Co2BiRu2.

SG: I4/mmm
calculated total energy: -34.00 eV/cell
D(E_F): 7.6 states/eV/cell

Geometry as CIF:
```
data_Co2BiRu2
_cell_length_a 6.156
_cell_length_b 6.156
_cell_length_c 6.156
_cell_angle_alpha 144.05
_cell_angle_beta 144.05
_cell_angle_gamma 51.76
_space_group_name_H-M_alt 'P 1'
_space_group_IT_number 1
_space_group_name_Hall 'P 1'
loop_
_atom_site_label
_atom_site_fract_x
_atom_site_fract_y
_atom_site_fract_z
_atom_site_occupancy
Co1 0.106 0.106 0.000 1
Co2 0.894 0.894 0.000 1
Bi1 0.500 0.500 0.000 1
Ru1 0.250 0.750 0.500 1
Ru2 0.750 0.250 0.500 1
```

---

[2]
VASP calculation (PBE) on a relaxed structure of NaGe2Pt2.

SG: P4/mbm
calculated total energy: -48.35 eV/cell
D(E_F): 5.5 states/eV/cell

Geometry as CIF:
```
data_NaGe2Pt2
_cell_length_a 7.823
_cell_length_b 7.823
_cell_length_c 2.865
_cell_angle_alpha 90.00
_cell_angle_beta 90.00
_cell_angle_gamma 90.00
_space_group_name_H-M_alt 'P 1'
_space_group_IT_number 1
_space_group_name_Hall 'P 1'
loop_
_atom_site_label
_atom_site_fract_x
_atom_site_fract_y
_atom_site_fract_z
_atom_site_occupancy
Na1 0.000 0.000 0.000 1
Na2 0.500 0.500 0.000 1
Ge1 0.138 0.362 0.000 1
Ge2 0.362 0.862 0.000 1
Ge3 0.638 0.138 0.000 1
Ge4 0.862 0.638 0.000 1
Pt1 0.161 0.661 0.500 1
Pt2 0.339 0.161 0.500 1
Pt3 0.661 0.839 0.500 1
Pt4 0.839 0.339 0.500 1
```

---

[3]
VASP calculation (PBE) on a relaxed structure of La12Pr3Hg.

SG: P4/mmm
calculated total energy: -74.38 eV/cell
D(E_F): 24.0 states/eV/cell

Geometry as CIF:
```
data_La12Pr3Hg
_cell_length_a 5.188
_cell_length_b 5.188
_cell_length_c 20.943
_cell_angle_alpha 90.00
_cell_angle_beta 90.00
_cell_angle_gamma 90.00
_space_group_name_H-M_alt 'P 1'
_space_group_IT_number 1
_space_group_name_Hall 'P 1'
loop_
_atom_site_label
_atom_site_fract_x
_atom_site_fract_y
_atom_site_fract_z
_atom_site_occupancy
La1 0.000 0.000 0.000 1
La2 0.000 0.000 0.245 1
La3 0.000 0.000 0.500 1
La4 0.000 0.000 0.755 1
La5 0.000 0.500 0.119 1
La6 0.000 0.500 0.372 1
La7 0.000 0.500 0.628 1
La8 0.000 0.500 0.881 1
La9 0.500 0.000 0.119 1
La10 0.500 0.000 0.372 1
La11 0.500 0.000 0.628 1
La12 0.500 0.000 0.881 1
Pr1 0.500 0.500 0.245 1
Pr2 0.500 0.500 0.500 1
Pr3 0.500 0.500 0.755 1
Hg1 0.500 0.500 0.000 1
```

---

[4]
VASP calculation (PBE) on a relaxed structure of Pr2NdCuTe5.

SG: Cmc2_1
calculated total energy: -90.04 eV/cell
D(E_F): 0.3 states/eV/cell
formation energy from raw total energies: -27.897 kcal/mol of atoms

Geometry as CIF:
```
data_Pr2NdCuTe5
_cell_length_a 9.944
_cell_length_b 9.944
_cell_length_c 13.129
_cell_angle_alpha 90.00
_cell_angle_beta 90.00
_cell_angle_gamma 154.66
_space_group_name_H-M_alt 'P 1'
_space_group_IT_number 1
_space_group_name_Hall 'P 1'
loop_
_atom_site_label
_atom_site_fract_x
_atom_site_fract_y
_atom_site_fract_z
_atom_site_occupancy
Pr1 0.108 0.892 0.500 1
Pr2 0.122 0.878 0.123 1
Pr3 0.878 0.122 0.623 1
Pr4 0.892 0.108 0.000 1
Nd1 0.192 0.808 0.825 1
Nd2 0.808 0.192 0.325 1
Cu1 0.430 0.570 0.273 1
Cu2 0.570 0.430 0.773 1
Te1 0.041 0.959 0.878 1
Te2 0.287 0.713 0.494 1
Te3 0.317 0.683 0.155 1
Te4 0.358 0.642 0.815 1
Te5 0.500 0.500 0.101 1
Te6 0.500 0.500 0.601 1
Te7 0.642 0.358 0.315 1
Te8 0.683 0.317 0.655 1
Te9 0.713 0.287 0.994 1
Te10 0.959 0.041 0.378 1
```

---

[5]
VASP calculation (PBE) on a relaxed structure of BeWS2N.

SG: P4/mmm
calculated total energy: -29.58 eV/cell
D(E_F): 3.6 states/eV/cell
formation energy from raw total energies: 16.988 kcal/mol of atoms

Geometry as CIF:
```
data_BeWS2N
_cell_length_a 4.483
_cell_length_b 4.483
_cell_length_c 3.084
_cell_angle_alpha 90.00
_cell_angle_beta 90.00
_cell_angle_gamma 90.00
_space_group_name_H-M_alt 'P 1'
_space_group_IT_number 1
_space_group_name_Hall 'P 1'
loop_
_atom_site_label
_atom_site_fract_x
_atom_site_fract_y
_atom_site_fract_z
_atom_site_occupancy
Be1 0.000 0.000 0.000 1
W1 0.500 0.500 0.500 1
S1 0.000 0.500 0.000 1
S2 0.500 0.000 0.000 1
N1 0.000 0.000 0.500 1
```

---

[6]
VASP calculation (PBE) on a relaxed structure of BaTc2Au.

SG: Imm2
calculated total energy: -23.18 eV/cell
D(E_F): 4.2 states/eV/cell

Geometry as CIF:
```
data_BaTc2Au
_cell_length_a 5.827
_cell_length_b 5.827
_cell_length_c 5.827
_cell_angle_alpha 144.09
_cell_angle_beta 121.35
_cell_angle_gamma 70.72
_space_group_name_H-M_alt 'P 1'
_space_group_IT_number 1
_space_group_name_Hall 'P 1'
loop_
_atom_site_label
_atom_site_fract_x
_atom_site_fract_y
_atom_site_fract_z
_atom_site_occupancy
Ba1 0.000 0.000 0.000 1
Tc1 0.531 0.531 0.000 1
Tc2 0.686 0.186 0.500 1
Au1 0.301 0.801 0.500 1
```

---

[7]
VASP calculation (PBE) on a relaxed structure of NiPN3.

SG: Pm-3m
calculated total energy: -30.44 eV/cell
D(E_F): 3.2 states/eV/cell
formation energy from raw total energies: 26.409 kcal/mol of atoms

Geometry as CIF:
```
data_NiPN3
_cell_length_a 3.448
_cell_length_b 3.448
_cell_length_c 3.448
_cell_angle_alpha 90.00
_cell_angle_beta 90.00
_cell_angle_gamma 90.00
_space_group_name_H-M_alt 'P 1'
_space_group_IT_number 1
_space_group_name_Hall 'P 1'
loop_
_atom_site_label
_atom_site_fract_x
_atom_site_fract_y
_atom_site_fract_z
_atom_site_occupancy
Ni1 0.000 0.000 0.000 1
P1 0.500 0.500 0.500 1
N1 0.000 0.500 0.500 1
N2 0.500 0.000 0.500 1
N3 0.500 0.500 0.000 1
```

---

[8]
VASP calculation (PBE) on a relaxed structure of La3Nd5Y4.

SG: C2/m
calculated total energy: -61.96 eV/cell
D(E_F): 20.4 states/eV/cell

Geometry as CIF:
```
data_La3Nd5Y4
_cell_length_a 8.758
_cell_length_b 8.758
_cell_length_c 9.468
_cell_angle_alpha 114.98
_cell_angle_beta 114.98
_cell_angle_gamma 40.67
_space_group_name_H-M_alt 'P 1'
_space_group_IT_number 1
_space_group_name_Hall 'P 1'
loop_
_atom_site_label
_atom_site_fract_x
_atom_site_fract_y
_atom_site_fract_z
_atom_site_occupancy
La1 0.000 0.000 0.000 1
La2 0.293 0.293 0.775 1
La3 0.707 0.707 0.225 1
Nd1 0.077 0.077 0.699 1
Nd2 0.173 0.173 0.389 1
Nd3 0.500 0.500 0.000 1
Nd4 0.827 0.827 0.611 1
Nd5 0.923 0.923 0.301 1
Y1 0.292 0.292 0.128 1
Y2 0.421 0.421 0.563 1
Y3 0.579 0.579 0.437 1
Y4 0.708 0.708 0.872 1
```

---

Total magnetization, respectively: 3.22; 0.00; 0.00; 0.00; 0.00; 0.88; 1.57; 0.22 μB per formula unit.